1.
# Nd3Cu4

A geometry-optimized Nd3Cu4 structure (PBE, Alexandria).

Values from the calculation:
Density of states at the Fermi level, states/eV/cell: 10.91
Magnetic moment, μB per cell: 0.0
DFT total energy, eV/atom: -4.5428
Energy of formation from the pure elements, eV per atom: -0.16

Lattice parameters (Å, degrees): 4.356 13.436 5.543 90.00 113.05 90.00
Sites, in units of the cell vectors:
Nd 0.000 0.000 0.000
Nd 0.018 0.500 0.037
Nd 0.286 0.148 0.572
Nd 0.286 0.852 0.572
Nd 0.732 0.352 0.464
Nd 0.732 0.648 0.464
Cu 0.009 0.250 0.017
Cu 0.009 0.750 0.017
Cu 0.316 0.500 0.634
Cu 0.443 0.336 0.889
Cu 0.443 0.664 0.889
Cu 0.575 0.163 0.148
Cu 0.575 0.837 0.148
Cu 0.702 0.000 0.405



2.
# Nd6Cu5

A geometry-optimized Nd6Cu5 structure (PBE, Alexandria).

Values from the calculation:
Density of states at the Fermi level, states/eV/cell: 12.65
Magnetic moment, μB per cell: 0.0
DFT total energy, eV/atom: -4.5345
Energy of formation from the pure elements, eV per atom: -0.07

Lattice parameters (Å, degrees): 8.733 8.733 5.057 106.69 106.69 48.48
Sites, in units of the cell vectors:
Nd 0.085 0.585 0.335
Nd 0.249 0.751 0.000
Nd 0.415 0.915 0.665
Nd 0.585 0.085 0.335
Nd 0.751 0.249 0.000
Nd 0.915 0.415 0.665
Cu 0.000 0.000 0.500
Cu 0.169 0.169 0.169
Cu 0.328 0.328 0.827
Cu 0.672 0.672 0.173
Cu 0.831 0.831 0.831



3.
# Nd2Cu3

A geometry-optimized Nd2Cu3 structure (PBE, Alexandria).

Values from the calculation:
Density of states at the Fermi level, states/eV/cell: 8.99
Magnetic moment, μB per cell: 0.0
DFT total energy, eV/atom: -4.5574
Energy of formation from the pure elements, eV per atom: -0.19

Lattice parameters (Å, degrees): 13.237 13.237 4.348 90.00 90.00 163.56
Sites, in units of the cell vectors:
Nd 0.070 0.930 0.750
Nd 0.203 0.797 0.250
Nd 0.797 0.203 0.750
Nd 0.930 0.070 0.250
Cu 0.333 0.667 0.250
Cu 0.383 0.617 0.750
Cu 0.477 0.523 0.750
Cu 0.523 0.477 0.250
Cu 0.617 0.383 0.250
Cu 0.667 0.333 0.750



4.
# Nd4Cu

A geometry-optimized Nd4Cu structure (PBE, Alexandria).

Values from the calculation:
Density of states at the Fermi level, states/eV/cell: 6.87
Magnetic moment, μB per cell: 0.0
DFT total energy, eV/atom: -4.4933
Energy of formation from the pure elements, eV per atom: 0.14

Lattice parameters (Å, degrees): 5.572 5.572 5.572 90.00 90.00 90.00
Sites, in units of the cell vectors:
Nd 0.000 0.000 0.000
Nd 0.000 0.500 0.500
Nd 0.500 0.000 0.500
Nd 0.500 0.500 0.000
Cu 0.500 0.500 0.500



5.
# Nd3Cu2

A geometry-optimized Nd3Cu2 structure (PBE, Alexandria).

Values from the calculation:
Density of states at the Fermi level, states/eV/cell: 4.79
Magnetic moment, μB per cell: 0.0
DFT total energy, eV/atom: -4.6053
Excess energy over the best structure of this formula in the dataset, meV per atom: 0
Energy of formation from the pure elements, eV per atom: -0.11

Lattice parameters (Å, degrees): 10.228 10.228 10.228 159.73 159.73 28.82
Sites, in units of the cell vectors:
Nd 0.000 0.000 0.000
Nd 0.180 0.180 0.000
Nd 0.820 0.820 0.000
Cu 0.410 0.410 0.000
Cu 0.590 0.590 0.000



6.
# NdCuNi4

A geometry-optimized NdCuNi4 structure (PBE, Alexandria).

Values from the calculation:
Density of states at the Fermi level, states/eV/cell: 13.62
Magnetic moment, μB per cell: 0.0
DFT total energy, eV/atom: -5.3754
Excess energy over the best structure of this formula in the dataset, meV per atom: 218
Energy of formation from the pure elements, eV per atom: -0.04

Lattice parameters (Å, degrees): 7.677 7.677 6.095 90.00 90.00 151.12
Sites, in units of the cell vectors:
Nd 0.110 0.890 0.750
Nd 0.890 0.110 0.250
Cu 0.235 0.765 0.250
Cu 0.765 0.235 0.750
Ni 0.075 0.925 0.250
Ni 0.334 0.666 0.563
Ni 0.334 0.666 0.937
Ni 0.500 0.500 0.000
Ni 0.500 0.500 0.500
Ni 0.666 0.334 0.063
Ni 0.666 0.334 0.437
Ni 0.925 0.075 0.750



7.
# NdCu2Ni

A geometry-optimized NdCu2Ni structure (PBE, Alexandria).

Values from the calculation:
Density of states at the Fermi level, states/eV/cell: 3.10
Magnetic moment, μB per cell: 0.0
DFT total energy, eV/atom: -4.6805
Energy of formation from the pure elements, eV per atom: 0.00

Lattice parameters (Å, degrees): 4.188 4.188 4.278 90.00 90.00 104.40
Sites, in units of the cell vectors:
Nd 0.000 0.000 0.000
Cu 0.320 0.680 0.500
Cu 0.680 0.320 0.500
Ni 0.500 0.500 0.000



8.
# NdCu7Ni5

A geometry-optimized NdCu7Ni5 structure (PBE, Alexandria).

Values from the calculation:
Density of states at the Fermi level, states/eV/cell: 9.07
Magnetic moment, μB per cell: 0.0
DFT total energy, eV/atom: -4.8973
Energy of formation from the pure elements, eV per atom: -0.10

Lattice parameters (Å, degrees): 6.398 6.398 6.398 135.73 98.16 98.17
Sites, in units of the cell vectors:
Nd 0.000 0.000 0.000
Cu 0.222 0.497 0.725
Cu 0.349 0.995 0.354
Cu 0.350 0.350 0.000
Cu 0.641 0.995 0.646
Cu 0.645 0.645 0.000
Cu 0.770 0.270 0.500
Cu 0.772 0.497 0.275
Ni 0.223 0.723 0.500
Ni 0.495 0.496 0.498
Ni 0.495 0.997 0.998
Ni 0.998 0.496 0.002
Ni 0.998 0.997 0.502



9.
# Nd12Cu6Ni

A geometry-optimized Nd12Cu6Ni structure (PBE, Alexandria).

Values from the calculation:
Density of states at the Fermi level, states/eV/cell: 26.11
Magnetic moment, μB per cell: 0.0
DFT total energy, eV/atom: -4.5614
Energy of formation from the pure elements, eV per atom: 0.05

Lattice parameters (Å, degrees): 8.337 8.337 8.337 98.20 98.20 98.20
Sites, in units of the cell vectors:
Nd 0.035 0.680 0.918
Nd 0.082 0.965 0.320
Nd 0.189 0.416 0.568
Nd 0.320 0.082 0.965
Nd 0.416 0.568 0.189
Nd 0.432 0.811 0.584
Nd 0.568 0.189 0.416
Nd 0.584 0.432 0.811
Nd 0.680 0.918 0.035
Nd 0.811 0.584 0.432
Nd 0.918 0.035 0.680
Nd 0.965 0.320 0.082
Cu 0.129 0.629 0.310
Cu 0.310 0.129 0.629
Cu 0.371 0.690 0.871
Cu 0.629 0.310 0.129
Cu 0.690 0.871 0.371
Cu 0.871 0.371 0.690
Ni 0.000 0.000 0.000



10.
# NdCu2Ni5

A geometry-optimized NdCu2Ni5 structure (PBE, Alexandria).

Values from the calculation:
Density of states at the Fermi level, states/eV/cell: 11.52
Magnetic moment, μB per cell: 1.2
DFT total energy, eV/atom: -5.2195
Energy of formation from the pure elements, eV per atom: 0.01

Lattice parameters (Å, degrees): 5.986 5.986 5.986 144.15 112.61 78.76
Sites, in units of the cell vectors:
Nd 0.000 0.000 0.000
Cu 0.248 0.748 0.500
Cu 0.752 0.252 0.500
Ni 0.183 0.365 0.819
Ni 0.454 0.635 0.819
Ni 0.500 0.000 0.500
Ni 0.546 0.365 0.181
Ni 0.817 0.635 0.181



11.
# NdCu4Ni8

A geometry-optimized NdCu4Ni8 structure (PBE, Alexandria).

Values from the calculation:
Density of states at the Fermi level, states/eV/cell: 19.67
Magnetic moment, μB per cell: 1.7
DFT total energy, eV/atom: -5.2306
Energy of formation from the pure elements, eV per atom: -0.05

Lattice parameters (Å, degrees): 6.372 6.372 6.372 97.88 97.88 136.53
Sites, in units of the cell vectors:
Nd 0.000 0.000 0.000
Cu 0.000 0.000 0.500
Cu 0.000 0.500 0.000
Cu 0.500 0.000 0.000
Cu 0.500 0.500 0.500
Ni 0.000 0.359 0.359
Ni 0.000 0.641 0.641
Ni 0.271 0.500 0.771
Ni 0.359 0.000 0.359
Ni 0.500 0.271 0.771
Ni 0.500 0.729 0.229
Ni 0.641 0.000 0.641
Ni 0.729 0.500 0.229



12.
# Nd2CuNi

A geometry-optimized Nd2CuNi structure (PBE, Alexandria).

Values from the calculation:
Density of states at the Fermi level, states/eV/cell: 7.25
Magnetic moment, μB per cell: 0.0
DFT total energy, eV/atom: -5.1045
Energy of formation from the pure elements, eV per atom: -0.25

Lattice parameters (Å, degrees): 5.679 4.474 7.663 90.00 109.55 90.00
Sites, in units of the cell vectors:
Nd 0.220 0.250 0.434
Nd 0.227 0.250 0.929
Nd 0.773 0.750 0.071
Nd 0.780 0.750 0.566
Cu 0.358 0.750 0.216
Cu 0.642 0.250 0.784
Ni 0.372 0.750 0.717
Ni 0.628 0.250 0.283